# 1
Here is a relaxed structure of Hf2PaAu from Alexandria via LeMat-Bulk. Energies are from PBE.

Cell: 4.928 4.928 4.928 Å, 60.00 60.00 60.00°
Fractional positions:
Hf1 0.750 0.750 0.750
Au1 0.500 0.500 0.500
Hf2 0.250 0.250 0.250
Pa1 0.000 0.000 0.000

Output
M_tot (μB per cell): 0.0
Calculated formation energy (eV per atom): 0.062
Energy above the lowest structure with this stoichiometry (meV per atom): 273
Volume (Å³/f.u.): 85



# 2
Here is a relaxed structure of Hf2Pb2Au from Alexandria via LeMat-Bulk. Energies are from PBE.

Cell: 3.994 3.994 8.641 Å, 76.64 76.64 90.00°
Fractional positions:
Au1 0.000 0.000 0.000
Hf1 0.250 0.750 0.500
Hf2 0.750 0.250 0.500
Pb1 0.406 0.406 0.187
Pb2 0.594 0.594 0.813

Output
M_tot (μB per cell): 0.0
Calculated formation energy (eV per atom): 0.561
Energy above the lowest structure with this stoichiometry (meV per atom): 520
Volume (Å³/f.u.): 130



# 3
Here is a relaxed structure of HfPb3Au from Alexandria via LeMat-Bulk. Energies are from PBE.

Cell: 5.462 5.462 5.462 Å, 90.00 90.00 90.00°
Fractional positions:
Hf1 0.500 0.500 0.500
Pb1 0.500 0.000 0.000
Pb2 0.000 0.000 0.500
Pb3 0.000 0.500 0.000
Au1 0.000 0.000 0.000

Output
M_tot (μB per cell): 0.0
Calculated formation energy (eV per atom): 0.790
Energy above the lowest structure with this stoichiometry (meV per atom): 176
Volume (Å³/f.u.): 163



# 4
Here is a relaxed structure of Hf3PbAu from Alexandria via LeMat-Bulk. Energies are from PBE.

Cell: 5.141 5.141 5.141 Å, 90.00 90.00 90.00°
Fractional positions:
Hf1 0.000 0.500 0.000
Hf2 0.500 0.000 0.000
Au1 0.000 0.000 0.000
Hf3 0.000 0.000 0.500
Pb1 0.500 0.500 0.500

Output
M_tot (μB per cell): 0.0
Calculated formation energy (eV per atom): 0.483
Energy above the lowest structure with this stoichiometry (meV per atom): 0
Volume (Å³/f.u.): 136



# 5
Here is a relaxed structure of HfPb2Au from Alexandria via LeMat-Bulk. Energies are from PBE.

Cell: 4.401 4.401 11.022 Å, 78.48 78.48 90.00°
Fractional positions:
Pb1 0.125 0.625 0.250
Pb2 0.625 0.125 0.250
Hf1 0.250 0.750 0.500
Hf2 0.500 0.500 0.000
Au1 0.000 0.000 0.000
Pb3 0.875 0.875 0.750
Au2 0.750 0.250 0.500
Pb4 0.375 0.375 0.750

Output
M_tot (μB per cell): 0.0
Calculated formation energy (eV per atom): 0.220
Energy above the lowest structure with this stoichiometry (meV per atom): 0
Volume (Å³/f.u.): 102



# 6
Here is a relaxed structure of Hf3PbAu from Alexandria via LeMat-Bulk. Energies are from PBE.

Cell: 5.263 5.263 5.263 Å, 90.00 90.00 90.00°
Fractional positions:
Hf1 0.500 0.000 0.000
Hf2 0.000 0.500 0.000
Au1 0.500 0.500 0.500
Hf3 0.000 0.000 0.500
Pb1 0.000 0.000 0.000

Output
M_tot (μB per cell): 0.0
Calculated formation energy (eV per atom): 1.409
Energy above the lowest structure with this stoichiometry (meV per atom): 926
Volume (Å³/f.u.): 146